1.
NaReSn2 | PBE-GGA | optimized geometry

Computed properties:
DOS(E_F), states/eV/f.u.: 0.47
ΔH_f (0 K), eV/atom: 0.72

Cell: 9.053 9.053 9.053 Å, 140.42 140.42 57.22°
Element x y z (fractional)
Na (0.000, 0.000, 0.000)
Na (0.750, 0.250, 0.500)
Re (0.250, 0.750, 0.500)
Re (0.500, 0.500, 0.000)
Sn (0.300, 0.625, 0.175)
Sn (0.375, 0.550, 0.675)
Sn (0.450, 0.125, 0.825)
Sn (0.875, 0.700, 0.325)

---

2.
NaReSn | PBE-GGA | optimized geometry

Computed properties:
DOS(E_F), states/eV/f.u.: 0.67
ΔH_f (0 K), eV/atom: 0.64

Cell: 2.839 4.743 8.745 Å, 90.00 90.21 90.00°
Element x y z (fractional)
Na (0.248, 0.250, 0.444)
Na (0.752, 0.750, 0.556)
Re (0.254, 0.750, 0.206)
Re (0.746, 0.250, 0.794)
Sn (0.248, 0.750, 0.882)
Sn (0.752, 0.250, 0.118)

---

Q: What is the DOS(E_F) in the first record?
A: 0.47 states/eV/f.u.